(1)
A relaxed structure of Mg2HgRhN, computed with PBE.

Cell: 4.3702 4.3702 4.0324 Å, 90.00 90.00 90.00°
Atoms (fractional coordinates):
Rh (0.0000, 0.0000, 0.5000)
Mg (0.5000, 0.0000, 0.0000)
Mg (0.0000, 0.5000, 0.0000)
N (0.0000, 0.0000, 0.0000)
Hg (0.5000, 0.5000, 0.5000)

Summary:
As for the electronic total energy: -4.12 eV per atom. Its space group is P4/mmm. The uncorrected formation energy comes out at -287 meV per atom. The value obtained for the volume is 77 Å³ per cell.

=====

(2)
A relaxed structure of BaPtW, computed with PBE.

Cell: 3.3162 3.4133 13.2786 Å, 98.22 82.75 90.38°
Atoms (fractional coordinates):
Ba (0.8069, 0.0110, 0.7246)
Ba (0.9600, 0.8139, 0.4207)
Pt (0.5512, 0.2252, 0.2391)
Pt (0.2157, 0.6005, 0.9062)
W (0.6598, 0.1932, 0.0139)
W (0.1072, 0.6327, 0.1313)

Summary:
The formation energy is 0.108 eV/atom. As for the electronic total energy: -6.86 eV per atom. Its space group is P-1. The value obtained for the volume is 148 Å³ per cell. The polymorph energy (0 for the lowest one) is 0.068 eV/atom.

=====

(3)
A relaxed structure of Pa3C2Se2, computed with PBE.

Cell: 3.9189 6.9102 6.8193 Å, 121.01 106.70 90.00°
Atoms (fractional coordinates):
Pa (0.2108, 0.6740, 0.4217)
Pa (0.0000, 0.0000, 0.0000)
Pa (0.7892, 0.3260, 0.5783)
Se (0.5886, 0.8116, 0.1773)
Se (0.4114, 0.1884, 0.8227)
C (0.1909, 0.3233, 0.3818)
C (0.8091, 0.6767, 0.6182)

Summary:
As for the electronic total energy: -8.54 eV per atom. Its space group is C2/m. The uncorrected formation energy comes out at -842 meV per atom. The value obtained for the volume is 149 Å³ per cell.

=====

Going through the records in order, we get ρ values of 7.9 11.6 9.7 g cm⁻³.